[1]
# Nb3RhW (meta-GGA SCAN, single point on PBEsol structure)
data_Nb3RhW
_space_group_name_H-M_alt 'P 1'
_space_group_IT_number 1
_cell_length_a 4.759
_cell_length_b 4.759
_cell_length_c 4.759
_cell_angle_alpha 90.00
_cell_angle_beta 90.00
_cell_angle_gamma 90.00
loop_
_space_group_symop_operation_xyz
'x,y,z'
loop_
_atom_site_label
_atom_site_fract_x
_atom_site_fract_y
_atom_site_fract_z
Nb1 0.000 0.000 0.500
Nb2 0.000 0.500 0.000
Nb3 0.500 0.000 0.000
Rh1 0.500 0.500 0.500
W1 0.000 0.000 0.000
# Magnetization = 0.00 Bohr magnetons per cell
# Formation energy = 1.521 eV/atom

=====

[2]
# Zr2Nb2Rh (meta-GGA SCAN, single point on PBEsol structure)
data_Zr2Nb2Rh
_space_group_name_H-M_alt 'P 1'
_space_group_IT_number 1
_cell_length_a 8.326
_cell_length_b 8.326
_cell_length_c 8.326
_cell_angle_alpha 155.33
_cell_angle_beta 155.33
_cell_angle_gamma 35.17
loop_
_space_group_symop_operation_xyz
'x,y,z'
loop_
_atom_site_label
_atom_site_fract_x
_atom_site_fract_y
_atom_site_fract_z
Zr1 0.091 0.091 0.000
Zr2 0.909 0.909 0.000
Nb1 0.250 0.750 0.500
Nb2 0.750 0.250 0.500
Rh1 0.500 0.500 0.000
# Magnetization = 0.00 Bohr magnetons per cell
# Formation energy = 0.317 eV/atom

=====

Table of E_tot (eV/f.u.), in record order: -195.24, -159.84